Material: Dy3Al5Se12
Method: DFT, GGA-PBE
State: optimized geometry

extended XYZ file:
```
80
Lattice="-13.081 3.670 1.227 0.774 -13.468 -2.024 6.731 3.279 11.403" Properties=species:S:1:pos:R:3 pbc="T T T"
Se 0.419 -1.375 2.129
Se 4.828 -5.947 6.861
Se -3.014 -1.341 3.610
Se -0.593 0.577 10.370
Se -11.013 -3.824 2.002
Se -5.995 -5.144 8.477
Se -0.834 -8.111 3.518
Se -2.563 -5.178 6.996
Se -4.511 -1.879 6.617
Se -4.038 -3.850 0.613
Se -1.066 -4.641 3.989
Se 3.381 -7.572 9.615
Se -0.679 -4.830 0.344
Se -10.405 -0.573 3.745
Se -7.451 -2.157 4.324
Se -4.742 1.591 7.088
Se -7.677 -6.010 5.520
Se -7.695 4.179 8.042
Se 1.874 -4.363 6.282
Se 4.276 2.601 11.066
Se -7.632 -4.711 1.694
Se -4.898 -1.689 10.262
Se -2.423 -8.647 6.478
Se -1.539 -2.669 9.993
Se -4.984 -7.096 0.236
Se 2.531 1.815 8.125
Se 2.100 -0.510 5.086
Se -5.976 -0.455 1.632
Se -6.718 2.534 3.079
Se -5.928 5.058 10.943
Se -8.107 -8.334 2.481
Se -1.630 -8.061 -0.134
Se -3.153 2.127 4.128
Se -1.122 -1.655 6.420
Se -9.853 -9.121 -0.460
Se 2.055 -1.809 8.912
Se 0.400 -6.065 8.974
Se 1.142 -9.053 7.527
Se 2.524 -7.349 4.788
Se -1.348 1.800 6.993
Se -4.455 -4.865 4.186
Se 5.437 -2.696 8.604
Se 0.351 -11.577 -0.337
Se -4.229 -8.320 3.613
Se -3.947 1.542 10.740
Se -8.958 1.052 0.991
Se -8.101 0.829 5.818
Se 2.119 -10.698 2.565
Dy -2.739 -6.222 2.046
Dy -9.667 2.347 3.671
Dy 4.090 -8.867 6.935
Dy 4.448 -0.039 9.625
Dy -10.025 -6.480 0.981
Dy 3.103 -4.631 9.020
Dy -0.118 -6.676 6.069
Dy -5.458 0.156 4.537
Dy -0.649 0.463 4.330
Dy -2.837 -0.298 8.560
Dy -4.927 -6.983 6.276
Dy -8.679 -1.888 1.586
Al -7.046 1.893 7.694
Al 1.227 -2.084 6.675
Al 0.387 -6.734 -1.012
Al -3.871 -1.581 1.379
Al -6.154 -4.899 -0.399
Al 1.469 -8.413 2.912
Al -6.541 1.835 0.613
Al 0.000 0.000 0.000
Al -5.914 -2.747 8.361
Al 0.239 2.152 8.759
Al -2.788 -3.260 5.303
Al -3.175 3.474 6.315
Al 3.752 -5.095 4.690
Al -1.706 -4.939 9.227
Al -5.816 -8.671 1.847
Al 3.366 1.639 5.702
Al -6.803 -4.436 3.931
Al 0.338 -3.772 2.245
Al -3.825 3.938 10.645
Al -1.752 -10.458 -0.039
```

As for the space-group type: No. 230. The calculation puts the magnetic moment at 0.00 μB/f.u. The value obtained for the raw formation energy is -1207 meV/atom.


Material: ScMnInCl6
Method: DFT, GGA-PBE
State: optimized geometry

extended XYZ file:
```
18
Lattice="6.243 0.000 0.000 -3.122 5.407 0.000 0.000 0.000 14.560" Properties=species:S:1:pos:R:3 pbc="T T T"
In 0.000 0.000 0.000
In 0.000 0.000 7.280
Cl 1.046 2.016 5.037
Cl 1.899 3.493 2.243
Cl -0.853 5.305 2.243
Cl 3.974 0.102 12.317
Cl 0.853 5.305 5.037
Cl 4.168 3.391 12.317
Cl 2.075 3.391 9.523
Cl 2.269 0.102 9.523
Cl -1.899 3.493 5.037
Cl -1.046 2.016 2.243
Cl 1.223 1.914 12.317
Cl 5.021 1.914 9.523
Mn 3.122 1.802 10.920
Mn 0.000 3.604 3.640
Sc 0.000 3.604 10.920
Sc 3.122 1.802 3.640
```

As for the space-group type: No. 163. The calculation puts the magnetic moment at 0.93 μB/f.u. The value obtained for the raw formation energy is -1250 meV/atom.


Material: DyAgAu4
Method: DFT, GGA-PBE
State: optimized geometry

extended XYZ file:
```
12
Lattice="5.170 -0.070 0.018 -0.104 5.169 -0.028 -2.537 -2.475 8.911" Properties=species:S:1:pos:R:3 pbc="T T T"
Au 1.261 1.295 3.010
Au 3.848 1.249 1.577
Au -1.265 -1.221 5.896
Au 1.267 1.328 5.892
Au 3.793 3.844 3.006
Au -1.320 1.375 7.325
Au 1.209 3.869 1.554
Au 1.319 -1.246 7.348
Dy 1.262 1.349 8.904
Dy 1.267 1.274 -0.002
Ag 1.316 -1.273 4.465
Ag -1.321 1.347 4.442
```

As for the energy above the most stable polymorph in this dataset: 0.0 kJ per mole of atoms. As for the space-group type: No. 10. The formation energy is -39.8 kJ per mole of atoms. The calculation puts the magnetic moment at 0.00 μB/f.u.


Material: Cs2LiSeO4
Method: DFT, GGA-PBE
State: optimized geometry

extended XYZ file:
```
16
Lattice="-3.379 3.734 -0.834 -5.889 -1.106 3.283 2.147 7.285 8.292" Properties=species:S:1:pos:R:3 pbc="T T T"
O 0.201 7.355 7.912
O -2.805 2.694 0.754
O -5.686 6.899 6.292
O -1.600 3.197 4.407
O -5.840 8.904 9.610
O -2.459 5.821 5.542
O -4.496 3.910 5.240
O -5.798 0.874 3.205
Se -1.690 1.867 -0.417
Se -2.716 4.023 5.579
Cs -3.081 7.760 8.167
Cs 0.823 5.415 5.286
Cs -2.055 5.604 2.172
Cs -5.730 4.020 2.156
Li 0.000 0.000 0.000
Li -4.405 5.890 5.162
```

As for the space-group type: No. 70. The calculation puts the magnetic moment at 0.97 μB/f.u. The value obtained for the raw formation energy is -1281 meV/atom.


Material: PrEuPd2
Method: DFT, GGA-PBE
State: optimized geometry

extended XYZ file:
```
4
Lattice="5.141 0.000 0.000 2.570 4.452 0.000 2.570 1.484 4.198" Properties=species:S:1:pos:R:3 pbc="T T T"
Pd 2.570 1.484 1.049
Pd 7.711 4.452 3.148
Pr 5.141 2.968 2.099
Eu 0.000 0.000 0.000
```

As for the energy above the most stable polymorph in this dataset: 0.9 kJ per mole of atoms. As for the space-group type: No. 225. The formation energy is -67.5 kJ per mole of atoms. The calculation puts the magnetic moment at 7.09 μB/f.u.


Material: Pm3YEr7
Method: DFT, GGA-PBE
State: optimized geometry

extended XYZ file:
```
11
Lattice="8.347 -0.779 -2.849 -2.246 9.737 -0.620 -1.860 -0.100 5.169" Properties=species:S:1:pos:R:3 pbc="T T T"
Er 4.444 2.301 -1.275
Er 4.037 7.279 1.596
Er 0.205 1.578 0.104
Er 3.244 -0.440 1.160
Er -0.563 3.311 2.781
Er -0.202 6.557 2.975
Er 4.805 5.546 -1.081
Pm 6.017 -0.617 -0.767
Pm -1.123 4.868 -0.310
Pm -1.775 9.474 2.467
Y 2.121 4.429 0.850
```

As for the energy above the most stable polymorph in this dataset: 0.0 kJ per mole of atoms. As for the space-group type: No. 10. The formation energy is 14.7 kJ per mole of atoms. The calculation puts the magnetic moment at 0.00 μB/f.u.


Material: Nb2AlCl
Method: DFT, GGA-PBE
State: optimized geometry

extended XYZ file:
```
4
Lattice="1.600 -0.487 4.288 -2.242 1.929 3.527 -2.260 -2.645 3.014" Properties=species:S:1:pos:R:3 pbc="T T T"
Al 0.000 0.000 0.000
Cl -1.451 -0.601 5.414
Nb -0.726 -0.301 2.707
Nb -2.177 -0.902 8.121
```

As for the energy above the most stable polymorph in this dataset: 0.0 kJ per mole of atoms. As for the space-group type: No. 225. The calculation puts the magnetic moment at 0.00 μB/f.u. The value obtained for the raw formation energy is 307 meV/atom.


Material: BeFeTeN2
Method: DFT, GGA-PBE
State: optimized geometry

extended XYZ file:
```
5
Lattice="-0.305 0.708 3.373 3.183 -1.240 0.548 2.218 5.290 -0.910" Properties=species:S:1:pos:R:3 pbc="T T T"
Be 0.000 0.000 0.000
Fe 2.548 2.379 1.506
N -0.153 0.354 1.687
N 1.592 -0.620 0.274
Te 1.109 2.645 -0.455
```

As for the energy above the most stable polymorph in this dataset: 56.0 kJ per mole of atoms. As for the space-group type: No. 123. The calculation puts the magnetic moment at 1.09 μB/f.u. The value obtained for the raw formation energy is 1433 meV/atom.


Material: Pu2CoSi6Ni
Method: DFT, GGA-PBE
State: optimized geometry

extended XYZ file:
```
20
Lattice="-3.276 3.096 -3.624 -2.757 -2.617 -4.359 -10.902 -1.499 3.959" Properties=species:S:1:pos:R:3 pbc="T T T"
Si -11.003 -1.210 1.634
Si -5.931 0.189 -5.658
Si -12.169 -2.316 -0.208
Si -7.905 -1.964 -3.762
Si -8.722 -2.433 -0.696
Si -6.276 -0.418 -1.185
Si -4.765 1.295 -3.815
Si -8.212 1.412 -3.327
Si -10.658 -0.603 -2.838
Si -9.029 0.944 -0.262
Si -4.546 -1.120 -4.126
Si -12.388 0.099 0.102
Co -10.384 -0.868 -0.585
Co -6.550 -0.153 -3.439
Pu -3.103 -0.044 -1.847
Pu -9.025 -0.080 -5.754
Pu -7.909 -0.941 1.731
Pu -13.831 -0.976 -2.176
Ni 0.000 0.000 0.000
Ni -8.467 -0.510 -2.012
```

As for the space-group type: No. 166. The calculation puts the magnetic moment at 10.33 μB/f.u. The value obtained for the raw formation energy is -388 meV/atom.


Material: K4Sm3ScSe8
Method: DFT, GGA-PBE
State: optimized geometry

extended XYZ file:
```
16
Lattice="-7.883 -2.886 1.067 1.816 -1.723 8.756 1.277 7.882 -2.804" Properties=species:S:1:pos:R:3 pbc="T T T"
Se -5.524 -2.555 3.357
Se -4.857 1.561 1.892
Se 0.067 1.712 5.126
Se -3.383 4.321 4.219
Se 0.734 5.828 3.662
Se -3.914 0.385 5.684
Se -0.877 2.888 1.334
Se -1.407 -1.048 2.799
Sm 1.546 3.079 2.976
Sm -2.395 1.636 3.509
Sm -3.033 -2.305 4.911
K 0.638 3.941 -1.402
K 0.000 0.000 0.000
K -3.303 2.498 -0.869
K -3.941 -1.443 0.534
Sc 0.908 -0.861 4.378
```

As for the space-group type: No. 166. The calculation puts the magnetic moment at 0.00 μB/f.u. The value obtained for the raw formation energy is -1713 meV/atom.


Material: EuY
Method: DFT, GGA-PBE
State: optimized geometry

extended XYZ file:
```
2
Lattice="4.153 0.000 0.000 0.000 4.153 0.000 0.000 0.000 4.153" Properties=species:S:1:pos:R:3 pbc="T T T"
Eu 0.000 0.000 0.000
Y 2.076 2.076 2.076
```

As for the energy above the most stable polymorph in this dataset: 11.7 kJ per mole of atoms. As for the space-group type: No. 221. The formation energy is 15.8 kJ per mole of atoms. The calculation puts the magnetic moment at 7.33 μB/f.u.


Material: HfAl2Ru2
Method: DFT, GGA-PBE
State: optimized geometry

extended XYZ file:
```
10
Lattice="7.153 0.000 0.000 0.000 7.153 0.000 0.000 0.000 3.064" Properties=species:S:1:pos:R:3 pbc="T T T"
Al 1.015 4.591 1.532
Al 6.138 2.561 1.532
Al 4.591 6.138 1.532
Al 2.561 1.015 1.532
Ru 4.673 1.097 0.000
Ru 6.056 4.673 0.000
Ru 2.479 6.056 0.000
Ru 1.097 2.479 0.000
Hf 0.000 0.000 0.000
Hf 3.576 3.576 0.000
```

As for the energy above the most stable polymorph in this dataset: 0.0 kJ per mole of atoms. As for the space-group type: No. 127. The formation energy is -55.4 kJ per mole of atoms. The calculation puts the magnetic moment at 0.00 μB/f.u.


Material: PrTmCuTc
Method: DFT, GGA-PBE
State: optimized geometry

extended XYZ file:
```
4
Lattice="-4.113 -2.326 -1.432 -3.042 -1.937 3.372 -4.412 2.060 0.817" Properties=species:S:1:pos:R:3 pbc="T T T"
Tc -8.675 -1.652 2.069
Pr -5.784 -1.101 1.379
Tm 0.000 0.000 0.000
Cu -2.892 -0.551 0.690
```

As for the space-group type: No. 216. The formation energy is -0.3 kJ per mole of atoms. The calculation puts the magnetic moment at 0.00 μB/f.u.


Material: NbCuP
Method: DFT, GGA-PBE
State: optimized geometry

extended XYZ file:
```
12
Lattice="-0.961 1.234 5.341 -1.227 -3.310 0.544 8.320 -3.015 0.427" Properties=species:S:1:pos:R:3 pbc="T T T"
P 4.590 -1.062 3.892
P 7.165 -2.393 1.603
P 2.391 -2.541 1.661
P -0.184 -1.210 3.950
Cu 4.529 -1.585 0.575
Cu 4.806 -2.783 5.637
Cu 1.259 0.380 5.151
Cu -0.245 -1.732 0.633
Nb 2.293 -2.093 4.163
Nb 4.774 -3.250 2.720
Nb 1.227 -0.088 2.234
Nb 7.067 -1.946 4.104
```

As for the space-group type: No. 8. The formation energy is -38.5 kJ per mole of atoms. The calculation puts the magnetic moment at 0.00 μB/f.u.


Material: Ca2TaRe
Method: DFT, GGA-PBE
State: optimized geometry

extended XYZ file:
```
4
Lattice="-0.806 -4.625 -1.730 -1.312 -3.657 3.153 -4.646 -1.855 -0.114" Properties=species:S:1:pos:R:3 pbc="T T T"
Ta 0.000 0.000 0.000
Ca -5.072 -7.602 0.982
Ca -1.691 -2.534 0.327
Re -3.381 -5.068 0.655
```

As for the energy above the most stable polymorph in this dataset: 110.7 kJ per mole of atoms. As for the space-group type: No. 225. The formation energy is 133.8 kJ per mole of atoms. The calculation puts the magnetic moment at 0.00 μB/f.u.


Material: SrGa2AsS6
Method: DFT, GGA-PBE
State: optimized geometry

extended XYZ file:
```
20
Lattice="7.629 0.220 0.228 2.699 8.220 0.795 2.699 0.489 8.244" Properties=species:S:1:pos:R:3 pbc="T T T"
S 8.910 2.644 3.843
S 2.490 5.176 1.167
S 9.870 7.402 8.872
S 6.304 1.085 5.330
S 7.931 5.296 6.596
S 6.971 0.447 1.654
S 5.095 3.632 2.671
S 10.536 3.753 8.099
S 6.055 8.481 7.612
S 3.156 1.527 0.394
S 6.722 7.844 3.936
S 4.116 6.285 5.423
Ga 6.671 2.110 3.316
Ga 6.355 6.819 5.950
Ga 10.169 5.803 7.149
Ga 2.857 3.126 2.117
Sr 8.420 2.089 7.032
Sr 4.606 6.839 2.235
As 8.420 6.753 2.538
As 4.606 2.176 6.728
```

As for the space-group type: No. 15. The calculation puts the magnetic moment at 0.73 μB/f.u. The value obtained for the raw formation energy is -648 meV/atom.


Material: CuRhAu2
Method: DFT, GGA-PBE
State: optimized geometry

extended XYZ file:
```
4
Lattice="4.749 -0.179 -0.120 1.414 4.537 0.120 -3.010 -2.279 2.888" Properties=species:S:1:pos:R:3 pbc="T T T"
Rh 0.743 2.218 1.504
Cu 2.410 -0.140 1.384
Au 3.082 2.180 0.000
Au 6.162 4.357 0.000
```

As for the energy above the most stable polymorph in this dataset: 4.2 kJ per mole of atoms. As for the space-group type: No. 139. The formation energy is 10.3 kJ per mole of atoms. The calculation puts the magnetic moment at 0.00 μB/f.u.


Material: Tb3Nd2Cd3
Method: DFT, GGA-PBE
State: optimized geometry

extended XYZ file:
```
8
Lattice="4.957 0.000 0.000 0.000 4.955 0.000 0.000 0.000 9.298" Properties=species:S:1:pos:R:3 pbc="T T T"
Tb 2.479 0.000 0.000
Tb 2.479 2.478 6.781
Tb 2.479 2.478 2.518
Nd 0.000 0.000 6.899
Nd 0.000 0.000 2.399
Cd 0.000 2.478 0.000
Cd 2.479 0.000 4.649
Cd 0.000 2.478 4.649
```

As for the energy above the most stable polymorph in this dataset: 4.9 kJ per mole of atoms. As for the space-group type: No. 47. The formation energy is -17.2 kJ per mole of atoms. The calculation puts the magnetic moment at 0.00 μB/f.u.


Material: La12Co6Ag
Method: DFT, GGA-PBE
State: optimized geometry

extended XYZ file:
```
19
Lattice="8.266 0.000 -2.923 -4.133 7.159 -2.923 0.000 0.000 8.768" Properties=species:S:1:pos:R:3 pbc="T T T"
Ag 0.000 0.000 0.000
La 6.473 1.362 2.909
La 2.076 0.872 5.832
La 0.504 3.596 -0.712
La 2.057 6.286 -2.909
La -1.271 4.925 5.133
La 3.850 4.925 -0.014
La 3.629 3.563 3.635
La 0.767 5.797 2.210
La 3.366 1.362 0.712
La -2.340 5.797 0.014
La 0.283 2.234 2.936
La 5.404 2.234 -2.210
Co 3.633 0.866 3.630
Co 1.066 3.579 5.138
Co -1.566 4.446 2.215
Co 3.067 3.579 -2.215
Co 5.699 2.713 0.707
Co 0.500 6.292 -0.707
```

As for the space-group type: No. 204. The formation energy is -13.4 kJ per mole of atoms. The calculation puts the magnetic moment at 0.00 μB/f.u.